Record 1
The following is a DFT calculation (PBE) of ZrNb3Co8 after structural relaxation.

Computed properties:
calculated formation energy	-188	meV/atom

```
data_ZrNb3Co8
_cell_length_a 4.818
_cell_length_b 4.818
_cell_length_c 7.814
_cell_angle_alpha 90.00
_cell_angle_beta 90.00
_cell_angle_gamma 120.00
_symmetry_space_group_name_H-M 'P 1'
_symmetry_Int_Tables_number 1
loop_
_symmetry_equiv_pos_as_xyz
'x,y,z'
loop_
_atom_site_label
_atom_site_type_symbol
_atom_site_fract_x
_atom_site_fract_y
_atom_site_fract_z
Zr1 Zr 0.000 0.000 0.000
Nb1 Nb 0.000 0.000 0.381
Nb2 Nb 0.667 0.333 0.496
Nb3 Nb 0.667 0.333 0.861
Co1 Co 0.166 0.331 0.684
Co2 Co 0.166 0.834 0.684
Co3 Co 0.333 0.667 0.434
Co4 Co 0.333 0.667 0.937
Co5 Co 0.503 0.006 0.187
Co6 Co 0.503 0.497 0.187
Co7 Co 0.669 0.834 0.684
Co8 Co 0.994 0.497 0.187
```

Record 2
The following is a DFT calculation (PBE) of Al6CoRu5 after structural relaxation.

Computed properties:
calculated formation energy	-655	meV/atom

```
data_Al6CoRu5
_cell_length_a 7.303
_cell_length_b 7.303
_cell_length_c 7.303
_cell_angle_alpha 146.41
_cell_angle_beta 131.66
_cell_angle_gamma 60.15
_symmetry_space_group_name_H-M 'P 1'
_symmetry_Int_Tables_number 1
loop_
_symmetry_equiv_pos_as_xyz
'x,y,z'
loop_
_atom_site_label
_atom_site_type_symbol
_atom_site_fract_x
_atom_site_fract_y
_atom_site_fract_z
Al1 Al 0.083 0.335 0.748
Al2 Al 0.247 0.000 0.247
Al3 Al 0.414 0.665 0.748
Al4 Al 0.586 0.335 0.252
Al5 Al 0.753 0.000 0.753
Al6 Al 0.917 0.665 0.252
Co1 Co 0.000 0.500 0.500
Ru1 Ru 0.165 0.165 0.000
Ru2 Ru 0.333 0.833 0.500
Ru3 Ru 0.500 0.500 0.000
Ru4 Ru 0.667 0.167 0.500
Ru5 Ru 0.835 0.835 0.000
```

Calculated uncorrected energy in order - -8.15, -6.98 eV per atom
Calculated spin magnetization in order - 0.408, 0.000 μB/atom